Below is crystalline GeSe2O at its relaxed geometry, with properties calculated at the GGA-PBEsol level.

- uncorrected energy (eV/atom) = -4.4479
- formation energy from raw total energies (eV/atom) = 0.02
- space-group type = R-3m

abc: 3.731 3.731 7.168
angles: 74.91 74.91 60.00
Atoms (fractional coordinates):
Ge  0.500  0.500  0.500
Se  0.092  0.092  0.724
Se  0.908  0.908  0.276
O  0.000  0.000  0.000

=====

Below is crystalline GaTcI2O at its relaxed geometry, with properties calculated at the GGA-PBEsol level.

- uncorrected energy (eV/atom) = -4.3360
- formation energy from raw total energies (eV/atom) = 0.34
- space-group type = P4/mmm

abc: 3.566 5.648 5.648
angles: 90.00 90.00 90.00
Site moments in Bohr magnetons follow the coordinates.
Atoms (fractional coordinates):
Ga  0.000  0.000  0.000  0.01
Tc  0.500  0.500  0.500  3.58
I  0.000  0.500  0.000  0.08
I  0.000  0.000  0.500  0.08
O  0.500  0.000  0.000  0.01

=====

Below is crystalline Ti5Cu2S10 at its relaxed geometry, with properties calculated at the GGA-PBEsol level.

- uncorrected energy (eV/atom) = -6.7569
- formation energy from raw total energies (eV/atom) = -1.22
- space-group type = P-1

abc: 5.795 6.666 8.167
angles: 107.23 110.60 90.26
Atoms (fractional coordinates):
S  0.017  0.948  0.696
S  0.387  0.850  0.103
S  0.219  0.353  0.098
S  0.186  0.447  0.702
S  0.613  0.150  0.897
S  0.814  0.553  0.298
S  0.781  0.647  0.902
S  0.421  0.754  0.504
S  0.579  0.246  0.496
S  0.983  0.052  0.304
Ti  0.800  0.600  0.597
Ti  0.603  0.200  0.198
Ti  0.000  0.000  0.000
Ti  0.397  0.800  0.802
Ti  0.200  0.400  0.403
Cu  0.108  0.712  0.213
Cu  0.892  0.288  0.787